Entry 1:
A plane-wave DFT calculation with PBE-GGA was carried out for a relaxed structure of Sr2Ca2Cu3BiO8.

Structure (extended XYZ):
```
16
Lattice="0.0000 5.8024 5.7956 3.3018 0.0000 5.7956 3.3018 5.8024 0.0000" Properties=species:S:1:pos:R:3 pbc="T T T"
Sr 1.6509 0.0000 2.8978
Sr 1.6509 5.8024 2.8978
Ca 1.6509 2.9012 5.7956
Ca 1.6509 2.9012 0.0000
Cu 0.0000 0.0000 0.0000
Cu 3.3018 2.9012 2.8978
Cu 0.0000 2.9012 2.8978
Bi 3.3018 5.8024 5.7956
O 3.3018 4.1814 4.2634
O 3.3018 1.4578 4.3994
O 3.3018 4.1814 7.3278
O 3.3018 1.4578 7.1918
O 3.3018 10.1470 4.3994
O 3.3018 7.4233 4.2634
O 3.3018 10.1470 7.1918
O 3.3018 7.4233 7.3278
```

VASP energy	-5.627	eV per atom

***

Entry 2:
A plane-wave DFT calculation with PBE-GGA was carried out for a relaxed structure of MnZn2S.

Structure (extended XYZ):
```
8
Lattice="7.4418 0.0000 0.0000 0.0000 7.4418 0.0000 3.7209 3.7209 2.4554" Properties=species:S:1:pos:R:3 pbc="T T T"
Zn 5.3113 1.8604 0.6138
Zn 2.1304 5.5813 0.6138
Zn 5.5813 5.8513 1.8415
Zn 9.3022 9.0322 1.8415
Mn 0.0000 0.0000 0.0000
Mn 7.4418 3.7209 1.2277
S 3.7209 3.7209 0.0000
S 3.7209 7.4418 1.2277
```

VASP energy	-3.917	eV per atom

***

Entry 3:
A plane-wave DFT calculation with PBE-GGA was carried out for a relaxed structure of Tm5Sb2N.

Structure (extended XYZ):
```
16
Lattice="-0.4202 2.0153 3.9609 5.0219 -6.3589 1.2527 10.5680 7.7865 -2.8406" Properties=species:S:1:pos:R:3 pbc="T T T"
Tm 12.9467 3.6189 2.0477
Tm 10.1466 1.5558 2.8003
Tm 7.5863 0.1579 0.7245
Tm 3.5733 -2.7989 1.8032
Tm 4.7150 0.4153 2.8044
Tm 10.4547 3.0277 -0.4313
Tm 7.5834 3.2851 1.6486
Tm 11.5964 6.2419 0.5699
Tm 2.2230 -0.1759 0.3254
Tm 5.0231 1.8872 -0.4273
Sb 7.7121 -0.4833 3.5795
Sb 5.0786 -2.4236 4.2874
Sb 7.4576 3.9263 -1.2065
Sb 10.0911 5.8666 -1.9144
N 10.7272 3.4987 1.8734
N 4.4425 -0.0557 0.4997
```

VASP energy	-5.387	eV per atom

***

Entry 4:
A plane-wave DFT calculation with PBE-GGA was carried out for a relaxed structure of Mn2NbOs2.

Structure (extended XYZ):
```
10
Lattice="-6.3015 -2.2915 -2.7958 3.2028 -0.9341 -6.4534 0.6163 -2.5114 0.6694" Properties=species:S:1:pos:R:3 pbc="T T T"
Nb 0.0000 0.0000 0.0000
Nb -1.5494 -1.6128 -4.6246
Mn 1.3865 -2.2672 -4.4533
Mn -1.2442 -3.5646 -6.8992
Mn -3.8689 -3.4697 -4.1265
Mn -1.2383 -2.1723 -1.6806
Os 0.4461 -1.6696 -6.6750
Os -3.4915 -2.5859 -6.4876
Os -3.5448 -1.5559 -2.5741
Os 0.3928 -0.6396 -2.7616
```

energy of formation from the pure elements	0.33	eV/f.u.
VASP energy	-10.108	eV per atom
E above lowest polymorph	54	meV/atom

***

Q: Look up the VASP energy of the second one.
A: -3.917 eV per atom

***

What did the first record say?
A plane-wave DFT calculation with PBE-GGA was carried out for a relaxed structure of Sr2Ca2Cu3BiO8.

Structure (extended XYZ):
```
16
Lattice="0.0000 5.8024 5.7956 3.3018 0.0000 5.7956 3.3018 5.8024 0.0000" Properties=species:S:1:pos:R:3 pbc="T T T"
Sr 1.6509 0.0000 2.8978
Sr 1.6509 5.8024 2.8978
Ca 1.6509 2.9012 5.7956
Ca 1.6509 2.9012 0.0000
Cu 0.0000 0.0000 0.0000
Cu 3.3018 2.9012 2.8978
Cu 0.0000 2.9012 2.8978
Bi 3.3018 5.8024 5.7956
O 3.3018 4.1814 4.2634
O 3.3018 1.4578 4.3994
O 3.3018 4.1814 7.3278
O 3.3018 1.4578 7.1918
O 3.3018 10.1470 4.3994
O 3.3018 7.4233 4.2634
O 3.3018 10.1470 7.1918
O 3.3018 7.4233 7.3278
```

VASP energy	-5.627	eV per atom

***

Q: Which of these has the highest VASP energy?
A: MnZn2S